The following is a PBE calculation of a relaxed structure of Pm3GeCl3, from Alexandria.

a b c (Å): 10.1027 10.1027 10.1027
angles (deg): 109.47 109.47 109.47
With the nearest neighbours (Å) after each atom.
Positions (direct):
1 Cl 0.4992 0.5008 0.2500  4 Pm 2.93-2.99
2 Cl 0.4992 0.9984 0.7492  4 Pm 2.93-2.99
3 Cl 0.2492 0.2500 0.7508  4 Pm 2.93-2.99
4 Cl 0.4984 0.7492 0.9992  4 Pm 2.93-2.99
5 Cl 0.0008 0.2500 0.9992  4 Pm 2.93-2.99
6 Cl 0.2492 0.9992 0.9984  4 Pm 2.93-2.99
7 Cl 0.0008 0.7508 0.5016  4 Pm 2.93-2.99
8 Cl 0.7500 0.9992 0.5008  4 Pm 2.93-2.99
9 Cl 0.2508 0.7492 0.2500  4 Pm 2.93-2.99
10 Cl 0.0016 0.5008 0.7508  4 Pm 2.93-2.99
11 Cl 0.2508 0.5016 0.5008  4 Pm 2.93-2.99
12 Cl 0.7500 0.7508 0.7492  4 Pm 2.93-2.99
13 Pm 0.5059 0.0119 0.2559  2 Ge 2.85, 4 Cl 2.93-2.99
14 Pm 0.7559 0.0059 0.0119  2 Ge 2.85, 4 Cl 2.93-2.99
15 Pm 0.2500 0.2441 0.2559  2 Ge 2.85, 4 Cl 2.93-2.99
16 Pm 0.9941 0.7500 0.0059  2 Ge 2.85, 4 Cl 2.93-2.99
17 Pm 0.9881 0.4941 0.2441  2 Ge 2.85, 4 Cl 2.93-2.99
18 Pm 0.2500 0.0059 0.4941  2 Ge 2.85, 4 Cl 2.93-2.99
19 Pm 0.7441 0.2559 0.7500  2 Ge 2.85, 4 Cl 2.93-2.99
20 Pm 0.5059 0.4941 0.7500  2 Ge 2.85, 4 Cl 2.93-2.99
21 Pm 0.5119 0.2559 0.0059  2 Ge 2.85, 4 Cl 2.93-2.99
22 Pm 0.7559 0.7500 0.2441  2 Ge 2.85, 4 Cl 2.93-2.99
23 Pm 0.9941 0.2441 0.4881  2 Ge 2.85, 4 Cl 2.93-2.99
24 Pm 0.7441 0.4881 0.4941  2 Ge 2.85, 4 Cl 2.93-2.99
25 Ge 0.7500 0.2500 0.2500  6 Pm 2.85
26 Ge 0.7500 0.5000 0.0000  6 Pm 2.85
27 Ge 0.5000 0.2500 0.5000  6 Pm 2.85
28 Ge 0.0000 0.0000 0.2500  6 Pm 2.85

Output
volume	28.3	Å³ per atom
uncorrected formation energy	-1650	meV/atom
ΔE to the lowest computed polymorph	0.0	kJ/mol of formula units